Entry 1:
This record from Alexandria describes crystalline TbTm3Hg12 at its relaxed geometry. The functional is PBE.

Calculated values
Its crystal system is tetragonal. The total energy comes out at -1.637 eV per atom.

Cell lengths 4.4774, 4.4774, 19.3099 Å; angles 90.00, 90.00, 90.00 degrees
Space group P4/mmm (No. 123)
Inequivalent atoms, fractional coordinates:
Tb  0.0000  0.0000  0.0000 [1 per cell]
Tm  0.0000  0.0000  0.2515 [2 per cell]
Tm  0.0000  0.0000  0.5000 [1 per cell]
Hg  0.0000  0.5000  0.1264 [4 per cell]
Hg  0.0000  0.5000  0.3754 [4 per cell]
Hg  0.5000  0.5000  0.0000 [1 per cell]
Hg  0.5000  0.5000  0.2506 [2 per cell]
Hg  0.5000  0.5000  0.5000 [1 per cell]

=====

Entry 2:
This record from Alexandria describes crystalline TbTm5Hg6 at its relaxed geometry. The functional is PBE.

Calculated values
Its crystal system is monoclinic. The total energy comes out at -2.879 eV per atom.

Cell lengths 5.1943, 7.3855, 8.2346 Å; angles 90.00, 108.03, 90.00 degrees
Space group P2/m (No. 10)
Inequivalent atoms, fractional coordinates:
Tb  0.0000  0.0000  0.0000 [1 per cell]
Tm  0.0000  0.5000  0.0000 [1 per cell]
Tm  0.3320  0.0000  0.6643 [2 per cell]
Tm  0.3345  0.5000  0.6691 [2 per cell]
Hg  0.1680  0.2532  0.3359 [4 per cell]
Hg  0.5000  0.2529  0.0000 [2 per cell]

=====

Entry 3:
This record from Alexandria describes crystalline TbTm2Hg2 at its relaxed geometry. The functional is PBE.

Calculated values
As for the excess energy over the best structure of this formula in the dataset: 151.8 meV/atom. Its crystal system is trigonal. The total energy comes out at -3.070 eV per atom.

Cell lengths 5.1049, 5.1049, 6.3502 Å; angles 90.00, 90.00, 120.00 degrees
Space group P-3m1 (No. 164)
Inequivalent atoms, fractional coordinates:
Tb  0.0000  0.0000  0.0000 [1 per cell]
Tm  0.3333  0.6667  0.6602 [2 per cell]
Hg  0.3333  0.6667  0.1837 [2 per cell]

=====

Entry 4:
This record from Alexandria describes crystalline TbTm4Hg2 at its relaxed geometry. The functional is PBE.

Calculated values
Its crystal system is trigonal. The total energy comes out at -3.274 eV per atom.

Cell lengths 4.9922, 4.9922, 30.2578 Å; angles 90.00, 90.00, 120.00 degrees
Space group R-3m (No. 166, hexagonal axes)
Inequivalent atoms, fractional coordinates:
Tb  0.0000  0.0000  0.0000 [3 per cell]
Tm  0.0000  0.0000  0.2026 [6 per cell]
Tm  0.0000  0.0000  0.3946 [6 per cell]
Hg  0.0000  0.0000  0.1012 [6 per cell]

=====

Entry 5:
This record from Alexandria describes crystalline TbTmHg4 at its relaxed geometry. The functional is PBE.

Calculated values
As for the excess energy over the best structure of this formula in the dataset: 211.1 meV/atom. Its crystal system is cubic. The total energy comes out at -1.891 eV per atom.

Cell lengths 8.3953, 8.3953, 8.3953 Å; angles 90.00, 90.00, 90.00 degrees
Space group F-43m (No. 216)
Inequivalent atoms, fractional coordinates:
Tb  0.0000  0.0000  0.0000 [4 per cell]
Tm  0.2500  0.2500  0.7500 [4 per cell]
Hg  0.1250  0.1250  0.3750 [16 per cell]

=====

Entry 6:
This record from Alexandria describes crystalline Tb3Tm2Hg7 at its relaxed geometry. The functional is PBE.

Calculated values
Its crystal system is orthorhombic. The total energy comes out at -2.386 eV per atom.

Cell lengths 5.1482, 22.8163, 5.4401 Å; angles 90.00, 90.00, 90.00 degrees
Space group Cmmm (No. 65)
Inequivalent atoms, fractional coordinates:
Tb  0.0000  0.0000  0.0000 [2 per cell]
Tb  0.0000  0.1670  0.0000 [4 per cell]
Tm  0.0000  0.3563  0.5000 [4 per cell]
Hg  0.0000  0.0760  0.5000 [4 per cell]
Hg  0.0000  0.2226  0.5000 [4 per cell]
Hg  0.0000  0.4142  0.0000 [4 per cell]
Hg  0.0000  0.5000  0.5000 [2 per cell]

=====

Entry 7:
This record from Alexandria describes crystalline Tb2Tm2Hg7 at its relaxed geometry. The functional is PBE.

Calculated values
Its crystal system is monoclinic. The total energy comes out at -2.136 eV per atom.

Cell lengths 11.5373, 9.4303, 5.2690 Å; angles 90.00, 95.24, 90.00 degrees
Space group C2/m (No. 12)
Inequivalent atoms, fractional coordinates:
Tb  0.0000  0.1996  0.0000 [4 per cell]
Tm  0.2234  0.5000  0.7578 [4 per cell]
Hg  0.0000  0.0000  0.5000 [2 per cell]
Hg  0.0528  0.5000  0.2662 [4 per cell]
Hg  0.2262  0.1731  0.7341 [8 per cell]

=====

Entry 8:
This record from Alexandria describes crystalline TbTmHg3 at its relaxed geometry. The functional is PBE.

Calculated values
Its crystal system is tetragonal. The total energy comes out at -1.925 eV per atom.

Cell lengths 5.6748, 5.6748, 21.6048 Å; angles 90.00, 90.00, 90.00 degrees
Space group I-4m2 (No. 119)
Inequivalent atoms, fractional coordinates:
Tb  0.0000  0.0000  0.0000 [2 per cell]
Tb  0.0000  0.5000  0.2500 [2 per cell]
Tm  0.0000  0.0000  0.4144 [4 per cell]
Hg  0.0000  0.2460  0.1283 [8 per cell]
Hg  0.0000  0.5000  0.5399 [4 per cell]